DFT (PBE+U) results for a geometry-optimized BaInMo2O8 structure.

SG: P-3m1
D(E_F): 0.13 states/eV per atom
Electronic total energy: -6.6732 eV/atom

Cell lengths 5.9650, 5.9650, 7.5910 Å; angles 90.00, 90.00, 120.00 degrees
Last column: nearest neighbours and their distance in Å.
Positions (direct):
Ba 0.0000 0.0000 0.0000  6 O 2.83
In 0.0000 0.0000 0.5000  6 O 2.29
Mo 0.3333 0.6667 0.7719  4 O 1.77-1.82
Mo 0.6667 0.3333 0.2281  4 O 1.77-1.82
O 0.1647 0.3293 0.7021  1 Mo 1.82
O 0.1647 0.8353 0.7021  1 Mo 1.82
O 0.3293 0.1647 0.2979  1 Mo 1.82
O 0.3333 0.6667 0.0052  1 Mo 1.77
O 0.6667 0.3333 0.9948  1 Mo 1.77
O 0.6707 0.8353 0.7021  1 Mo 1.82
O 0.8353 0.1647 0.2979  1 Mo 1.82
O 0.8353 0.6707 0.2979  1 Mo 1.82